1.
Gd11In9Co4 | the Open Quantum Materials Database | GGA-PBE | optimized geometry; mass density = 8602 kg/m3; final energy = -114.6 eV per cell; V = 579 Å³/cell
1.0
7.260 -10.834 0.000
7.260 10.834 0.000
0.000 0.000 3.680
Gd In Co
11 9 4
Direct
0.000 0.000 0.000 Gd
0.083 0.418 0.000 Gd
0.162 0.838 0.000 Gd
0.313 0.313 0.000 Gd
0.375 0.625 0.000 Gd
0.418 0.083 0.000 Gd
0.582 0.917 0.000 Gd
0.625 0.375 0.000 Gd
0.687 0.687 0.000 Gd
0.838 0.162 0.000 Gd
0.917 0.582 0.000 Gd
0.079 0.220 0.500 In
0.161 0.631 0.500 In
0.220 0.079 0.500 In
0.369 0.839 0.500 In
0.500 0.500 0.500 In
0.631 0.161 0.500 In
0.780 0.921 0.500 In
0.839 0.369 0.500 In
0.921 0.780 0.500 In
0.246 0.448 0.500 Co
0.448 0.246 0.500 Co
0.552 0.754 0.500 Co
0.754 0.552 0.500 Co

***

2.
YErCS | the Open Quantum Materials Database | GGA-PBE | optimized geometry; mass density = 6592 kg/m3; final energy = -59.0 eV per cell; V = 151 Å³/cell
1.0
3.688 0.000 0.000
-1.844 3.194 0.000
0.000 0.000 12.841
Y Er C S
2 2 2 2
Direct
0.000 0.000 0.147 Y
0.000 0.000 0.853 Y
0.667 0.333 0.355 Er
0.667 0.333 0.645 Er
0.333 0.667 0.253 C
0.333 0.667 0.747 C
0.000 0.000 0.500 S
0.667 0.333 0.000 S

***

3.
ZnTc | the Open Quantum Materials Database | GGA-PBE | optimized geometry; mass density = 9607 kg/m3; DFT formation energy = -0.02 eV/f.u.; polymorph energy (0 for the lowest one) = 20 meV per atom; V = 226 Å³/cell
1.0
4.480 0.000 0.000
0.000 10.809 0.000
0.000 0.000 4.665
Zn Tc
8 8
Direct
0.250 0.125 0.172 Zn
0.250 0.250 0.680 Zn
0.250 0.375 0.172 Zn
0.250 0.750 0.664 Zn
0.750 0.250 0.336 Zn
0.750 0.625 0.828 Zn
0.750 0.750 0.320 Zn
0.750 0.875 0.828 Zn
0.250 0.502 0.679 Tc
0.250 0.624 0.161 Tc
0.250 0.876 0.161 Tc
0.250 0.998 0.679 Tc
0.750 0.002 0.321 Tc
0.750 0.124 0.839 Tc
0.750 0.376 0.839 Tc
0.750 0.498 0.321 Tc

***

4.
NbI | the Open Quantum Materials Database | GGA-PBE | optimized geometry; mass density = 5814 kg/m3; final energy = -37.4 eV per cell; V = 251 Å³/cell
1.0
6.309 0.000 0.000
0.000 6.309 0.000
0.000 0.000 6.309
Nb I
4 4
Direct
0.000 0.000 0.000 Nb
0.000 0.500 0.500 Nb
0.500 0.000 0.500 Nb
0.500 0.500 0.000 Nb
0.250 0.250 0.250 I
0.250 0.750 0.750 I
0.750 0.250 0.750 I
0.750 0.750 0.250 I

***

5.
YHfGaCo | the Open Quantum Materials Database | GGA-PBE | optimized geometry; mass density = 9053 kg/m3; polymorph energy (0 for the lowest one) = 0 meV per atom; V = 291 Å³/cell
1.0
6.624 0.000 0.000
0.000 6.624 0.000
0.000 0.000 6.624
Y Hf Ga Co
4 4 4 4
Direct
0.000 0.000 0.000 Y
0.000 0.500 0.500 Y
0.500 0.000 0.500 Y
0.500 0.500 0.000 Y
0.250 0.250 0.750 Hf
0.250 0.750 0.250 Hf
0.750 0.250 0.250 Hf
0.750 0.750 0.750 Hf
0.250 0.250 0.250 Ga
0.250 0.750 0.750 Ga
0.750 0.250 0.750 Ga
0.750 0.750 0.250 Ga
0.000 0.000 0.500 Co
0.000 0.500 0.000 Co
0.500 0.000 0.000 Co
0.500 0.500 0.500 Co

***

6.
TlCoCuMo | the Open Quantum Materials Database | GGA-PBE | optimized geometry; mass density = 11493 kg/m3; polymorph energy (0 for the lowest one) = 132 meV per atom; V = 244 Å³/cell
1.0
6.252 0.000 0.000
0.000 6.252 0.000
0.000 0.000 6.252
Tl Co Cu Mo
4 4 4 4
Direct
0.000 0.000 0.000 Tl
0.000 0.500 0.500 Tl
0.500 0.000 0.500 Tl
0.500 0.500 0.000 Tl
0.000 0.000 0.500 Co
0.000 0.500 0.000 Co
0.500 0.000 0.000 Co
0.500 0.500 0.500 Co
0.250 0.250 0.250 Cu
0.250 0.750 0.750 Cu
0.750 0.250 0.750 Cu
0.750 0.750 0.250 Cu
0.250 0.250 0.750 Mo
0.250 0.750 0.250 Mo
0.750 0.250 0.250 Mo
0.750 0.750 0.750 Mo

***

7.
Dy2Y2Er3Ni2Te2 | the Open Quantum Materials Database | GGA-PBE | optimized geometry; mass density = 7984 kg/m3; polymorph energy (0 for the lowest one) = 1 meV per atom; V = 286 Å³/cell
1.0
-1.922 7.807 4.773
1.922 -7.807 4.773
1.922 7.807 -4.773
Dy Y Er Ni Te
2 2 3 2 2
Direct
0.147 0.000 0.147 Dy
0.853 0.000 0.853 Dy
0.516 0.148 0.369 Y
0.779 0.148 0.631 Y
0.164 0.349 0.815 Er
0.230 0.730 0.500 Er
0.534 0.349 0.185 Er
0.396 0.658 0.737 Ni
0.921 0.658 0.263 Ni
0.493 0.493 0.000 Te
0.895 0.395 0.500 Te

***

8.
MgZn2Si | the Open Quantum Materials Database | GGA-PBE | optimized geometry; mass density = 4594 kg/m3; final energy = -35.3 eV per cell; V = 265 Å³/cell
1.0
6.422 0.000 0.000
0.000 6.422 0.000
0.000 0.000 6.422
Mg Zn Si
4 8 4
Direct
0.000 0.000 0.000 Mg
0.000 0.500 0.500 Mg
0.500 0.000 0.500 Mg
0.500 0.500 0.000 Mg
0.000 0.000 0.500 Zn
0.000 0.500 0.000 Zn
0.250 0.250 0.250 Zn
0.250 0.750 0.750 Zn
0.500 0.000 0.000 Zn
0.500 0.500 0.500 Zn
0.750 0.250 0.750 Zn
0.750 0.750 0.250 Zn
0.250 0.250 0.750 Si
0.250 0.750 0.250 Si
0.750 0.250 0.250 Si
0.750 0.750 0.750 Si